Tb9Pr2Tm: optimized geometry, PBE-GGA.

Values from the calculation:
ΔE_f = 0.84 eV/f.u.
N(E_F) = 18.4 states/eV per cell
Calculated volume = 388.4 Å³/cell
E = -4.572 eV per atom
Energy relative to the lowest polymorph listed for this composition = 56 kJ/mol of formula units

abc: 11.3267 11.3267 3.4954
angles: 90.00 90.00 120.00
Positions (direct):
Tb 0.0000 0.5000 0.0000
Tb 0.1718 0.3437 0.5000
Tb 0.1718 0.8282 0.5000
Tb 0.3437 0.1718 0.5000
Tb 0.5000 0.0000 0.0000
Tb 0.5000 0.5000 0.0000
Tb 0.6563 0.8282 0.5000
Tb 0.8282 0.1718 0.5000
Tb 0.8282 0.6563 0.5000
Pr 0.3333 0.6667 0.0000
Pr 0.6667 0.3333 0.0000
Tm 0.0000 0.0000 0.0000



Ga2BrCl: optimized geometry, PBE-GGA.

Values from the calculation:
N(E_F) = 0.0 states/eV per cell
Calculated volume = 127.7 Å³/cell
E = -2.954 eV per atom
Energy relative to the lowest polymorph listed for this composition = 8 kJ/mol of formula units

abc: 6.0669 6.0669 7.3172
angles: 125.25 125.25 36.68
Positions (direct):
Ga 0.0000 0.0000 0.0000
Ga 0.0330 0.0330 0.4576
Br 0.2919 0.2919 0.9245
Cl 0.4305 0.4305 0.5670



SiS2N2: optimized geometry, PBE-GGA.

Values from the calculation:
N(E_F) = 2.0 states/eV per cell
Calculated volume = 75.7 Å³/cell
E = -4.669 eV per atom
Energy relative to the lowest polymorph listed for this composition = 371 kJ/mol of formula units

abc: 3.4068 3.4068 6.5250
angles: 90.00 90.00 90.00
Positions (direct):
Si 0.0000 0.0000 0.0000
S 0.5000 0.5000 0.0000
S 0.5000 0.5000 0.5000
N 0.0000 0.5000 0.5000
N 0.5000 0.0000 0.5000



La4Sm3Dy4: optimized geometry, PBE-GGA.

Values from the calculation:
ΔE_f = 1.36 eV/f.u.
N(E_F) = 15.5 states/eV per cell
Calculated volume = 386.9 Å³/cell
E = -4.628 eV per atom
Energy relative to the lowest polymorph listed for this composition = 0 kJ/mol of formula units

abc: 12.3023 12.3023 12.3023
angles: 163.08 134.32 49.05
Positions (direct):
La 0.0237 0.8540 0.1697
La 0.3157 0.1460 0.1697
La 0.6843 0.8540 0.8303
La 0.9763 0.1460 0.8303
Sm 0.0000 0.5000 0.5000
Sm 0.3944 0.3944 0.0000
Sm 0.6056 0.6056 0.0000
Dy 0.2639 0.7639 0.5000
Dy 0.3162 0.0000 0.3162
Dy 0.6838 0.0000 0.6838
Dy 0.7361 0.2361 0.5000



VSi3Ni: optimized geometry, PBE-GGA.

Values from the calculation:
N(E_F) = 4.9 states/eV per cell
Calculated volume = 83.7 Å³/cell
E = -5.591 eV per atom

abc: 4.3735 4.3735 4.3735
angles: 90.00 90.00 90.00
Positions (direct):
V 0.0000 0.0000 0.0000
Si 0.0000 0.5000 0.5000
Si 0.5000 0.0000 0.5000
Si 0.5000 0.5000 0.0000
Ni 0.5000 0.5000 0.5000



Na2LaTc2N4: optimized geometry, PBE-GGA.

Values from the calculation:
N(E_F) = 3.5 states/eV per cell
Calculated volume = 146.4 Å³/cell
E = -7.218 eV per atom

abc: 6.0405 6.0405 8.7935
angles: 122.60 122.60 33.51
Positions (direct):
Na 0.1386 0.1386 0.2271
Na 0.8614 0.8614 0.7729
La 0.0000 0.0000 0.5000
Tc 0.3476 0.3476 0.1160
Tc 0.6524 0.6524 0.8840
N 0.2178 0.2178 0.8290
N 0.4682 0.4682 0.6804
N 0.5318 0.5318 0.3196
N 0.7822 0.7822 0.1710



Ta2ZnW: optimized geometry, PBE-GGA.

Values from the calculation:
ΔE_f = 0.79 eV/f.u.
N(E_F) = 3.5 states/eV per cell
Calculated volume = 67.9 Å³/cell
E = -9.285 eV per atom

abc: 4.9932 4.9932 5.0955
angles: 98.15 98.15 32.69
Positions (direct):
Ta 0.0000 0.0000 0.0000
Ta 0.2388 0.2388 0.7297
Zn 0.7443 0.7443 0.2333
W 0.4806 0.4806 0.4841



LiAc4Ir2: optimized geometry, PBE-GGA.

Values from the calculation:
ΔE_f = -3.20 eV/f.u.
N(E_F) = 4.5 states/eV per cell
Calculated volume = 265.3 Å³/cell
E = -5.610 eV per atom
Energy relative to the lowest polymorph listed for this composition = 0 kJ/mol of formula units

abc: 16.1439 16.1439 16.1439
angles: 15.60 15.60 15.60
Positions (direct):
Li 0.0000 0.0000 0.0000
Ac 0.1257 0.1257 0.1257
Ac 0.2734 0.2734 0.2734
Ac 0.7266 0.7266 0.7266
Ac 0.8743 0.8743 0.8743
Ir 0.4264 0.4264 0.4264
Ir 0.5736 0.5736 0.5736



Ho3Co3Si8: optimized geometry, PBE-GGA.

Values from the calculation:
N(E_F) = 7.8 states/eV per cell
Calculated volume = 215.9 Å³/cell
E = -6.130 eV per atom

abc: 7.6271 7.6271 8.3288
angles: 117.76 117.76 30.59
Positions (direct):
Ho 0.0000 0.0000 0.0000
Ho 0.2929 0.2929 0.3402
Ho 0.7071 0.7071 0.6598
Co 0.0000 0.0000 0.5000
Co 0.3230 0.3230 0.9896
Co 0.6770 0.6770 0.0104
Si 0.1108 0.1108 0.3843
Si 0.1443 0.1443 0.8541
Si 0.3642 0.3642 0.7550
Si 0.4786 0.4786 0.2884
Si 0.5214 0.5214 0.7116
Si 0.6358 0.6358 0.2450
Si 0.8557 0.8557 0.1459
Si 0.8892 0.8892 0.6157



ZrTa3Cd: optimized geometry, PBE-GGA.

Values from the calculation:
ΔE_f = 9.70 eV/f.u.
N(E_F) = 14.4 states/eV per cell
Calculated volume = 122.7 Å³/cell
E = -7.065 eV per atom
Energy relative to the lowest polymorph listed for this composition = 53 kJ/mol of formula units

abc: 4.9686 4.9686 4.9686
angles: 90.00 90.00 90.00
Positions (direct):
Zr 0.0000 0.0000 0.0000
Ta 0.0000 0.5000 0.5000
Ta 0.5000 0.0000 0.5000
Ta 0.5000 0.5000 0.0000
Cd 0.5000 0.5000 0.5000



Tb2SBr3: optimized geometry, PBE-GGA.

Values from the calculation:
N(E_F) = 0.6 states/eV per cell
Calculated volume = 363.4 Å³/cell
E = -4.852 eV per atom

abc: 8.4432 8.4432 11.9108
angles: 120.00 120.00 30.01
Positions (direct):
Tb 0.0967 0.0967 0.4459
Tb 0.3675 0.3675 0.1846
Tb 0.6325 0.6325 0.8154
Tb 0.9033 0.9033 0.5541
S 0.1010 0.1010 0.6777
S 0.8990 0.8990 0.3223
Br 0.1602 0.1602 0.0169
Br 0.2691 0.2691 0.3961
Br 0.4414 0.4414 0.7518
Br 0.5586 0.5586 0.2482
Br 0.7309 0.7309 0.6039
Br 0.8398 0.8398 0.9831



BaTlW: optimized geometry, PBE-GGA.

Values from the calculation:
ΔE_f = 4.03 eV/f.u.
N(E_F) = 0.9 states/eV per cell
Calculated volume = 99.5 Å³/cell
E = -4.404 eV per atom
Energy relative to the lowest polymorph listed for this composition = 92 kJ/mol of formula units

abc: 5.2010 5.2010 5.2010
angles: 60.00 60.00 60.00
Positions (direct):
Ba 0.0000 0.0000 0.0000
Tl 0.5000 0.5000 0.5000
W 0.7500 0.7500 0.7500